# VCrH2S (PBE-GGA, optimized geometry)
data_VCrH2S
_space_group_name_H-M_alt 'P 1'
_space_group_IT_number 1
_cell_length_a 3.3369
_cell_length_b 4.9303
_cell_length_c 3.3369
_cell_angle_alpha 90.00
_cell_angle_beta 90.00
_cell_angle_gamma 90.00
loop_
_space_group_symop_operation_xyz
'x,y,z'
loop_
_atom_site_label
_atom_site_type_symbol
_atom_site_fract_x
_atom_site_fract_y
_atom_site_fract_z
_atom_site_occupancy
Cr1 Cr 0.0000 0.5000 0.0000 1
S1 S 0.5000 0.5000 0.5000 1
H1 H 0.0000 0.0000 0.5000 1
H2 H 0.5000 0.0000 0.0000 1
V1 V 0.0000 0.0000 0.0000 1
# - symmetry = No. 123
# - Fermi-level density of states (states/eV per atom) = 1.102
# - theoretical density (g cm⁻³) = 4.1
# - E (eV/f.u.) = -27.450